No. 1
## Li (SCAN)

Data for a crystal of Li relaxed with PBEsol.

a = 3.062 Å, b = 3.062 Å, c = 4.911 Å
α = 90.00°, β = 90.00°, γ = 120.00°
Fractional coordinates of all 2 atoms:
Li1 0.667 0.333 0.750
Li2 0.333 0.667 0.250

* formation enthalpy at 0 K: 0.01 eV per atom
* E above lowest polymorph: 5 meV per atom
* space group: P6_3/mmc

No. 2
## Li (SCAN)

Data for a crystal of Li relaxed with PBEsol.

a = 2.925 Å, b = 2.925 Å, c = 5.496 Å
α = 98.28°, β = 98.28°, γ = 117.30°
Fractional coordinates of all 2 atoms:
Li1 0.870 0.870 0.740
Li2 0.130 0.130 0.260

* formation enthalpy at 0 K: 0.05 eV per atom
* E above lowest polymorph: 49 meV per atom
* space group: Fmmm

No. 3
## Li (SCAN)

Data for a crystal of Li relaxed with PBEsol.

a = 2.706 Å, b = 2.916 Å, c = 2.916 Å
α = 120.00°, β = 90.00°, γ = 90.00°
Fractional coordinates of all 1 atoms:
Li1 0.000 0.000 0.000

* formation enthalpy at 0 K: 0.08 eV per atom
* E above lowest polymorph: 80 meV per atom
* space group: P6/mmm

No. 4
## Li (SCAN)

Data for a crystal of Li relaxed with PBEsol.

a = 2.961 Å, b = 2.961 Å, c = 2.961 Å
α = 109.47°, β = 109.47°, γ = 109.47°
Fractional coordinates of all 1 atoms:
Li1 0.000 0.000 0.000

* formation enthalpy at 0 K: 0.02 eV per atom
* E above lowest polymorph: 17 meV per atom
* space group: Im-3m

No. 5
## LiLuSn (SCAN)

Data for a crystal of LiLuSn relaxed with PBEsol.

a = 6.967 Å, b = 9.179 Å, c = 9.179 Å
α = 120.00°, β = 90.00°, γ = 90.00°
Fractional coordinates of all 24 atoms:
Li1 0.718 0.333 0.167
Sn1 0.267 0.833 0.167
Sn2 0.767 0.667 0.833
Li2 0.313 0.667 0.333
Li3 0.718 0.833 0.167
Lu1 0.001 0.000 0.000
Lu2 0.501 0.000 0.000
Lu3 0.006 0.980 0.490
Li4 0.218 0.167 0.833
Lu4 0.006 0.510 0.490
Sn3 0.767 0.167 0.833
Lu5 0.506 0.490 0.980
Sn4 0.267 0.333 0.167
Sn5 0.767 0.167 0.333
Sn6 0.742 0.667 0.333
Lu6 0.506 0.490 0.510
Li5 0.218 0.667 0.833
Sn7 0.242 0.333 0.667
Li6 0.218 0.167 0.333
Sn8 0.267 0.833 0.667
Lu7 0.006 0.510 0.020
Lu8 0.506 0.020 0.510
Li7 0.718 0.833 0.667
Li8 0.813 0.333 0.667

* formation enthalpy at 0 K: -0.67 eV per atom
* space group: P6_3mc

No. 6
## Li5Mg4 (SCAN)

Data for a crystal of Li5Mg4 relaxed with PBEsol.

a = 3.318 Å, b = 7.585 Å, c = 7.585 Å
α = 87.26°, β = 77.37°, γ = 77.37°
Fractional coordinates of all 9 atoms:
Mg1 0.000 0.324 0.676
Mg2 0.676 0.324 0.324
Li1 0.330 0.000 0.339
Mg3 0.324 0.676 0.676
Mg4 0.000 0.676 0.324
Li2 0.000 0.000 0.000
Li3 0.670 0.661 0.000
Li4 0.330 0.339 0.000
Li5 0.670 0.000 0.661

* formation enthalpy at 0 K: -0.04 eV per atom
* E above lowest polymorph: 0 meV per atom
* space group: I4/mmm

No. 7
## Li3Mg5 (SCAN)

Data for a crystal of Li3Mg5 relaxed with PBEsol.

a = 4.793 Å, b = 5.966 Å, c = 5.966 Å
α = 108.17°, β = 90.00°, γ = 90.00°
Fractional coordinates of all 8 atoms:
Li1 0.500 0.760 0.240
Li2 0.500 0.240 0.760
Mg1 0.500 0.268 0.268
Mg2 0.000 0.500 0.000
Mg3 0.500 0.732 0.732
Mg4 0.000 0.000 0.500
Li3 0.000 0.500 0.500
Mg5 0.000 0.000 0.000

* formation enthalpy at 0 K: -0.05 eV per atom
* E above lowest polymorph: 0 meV per atom
* space group: Cmmm

No. 8
## Li3Mg4 (SCAN)

Data for a crystal of Li3Mg4 relaxed with PBEsol.

a = 3.365 Å, b = 3.365 Å, c = 12.633 Å
α = 97.65°, β = 97.65°, γ = 90.00°
Fractional coordinates of all 7 atoms:
Li1 0.000 0.000 0.000
Li2 0.718 0.718 0.437
Li3 0.282 0.282 0.563
Mg1 0.432 0.432 0.864
Mg2 0.852 0.852 0.703
Mg3 0.148 0.148 0.297
Mg4 0.568 0.568 0.136

* formation enthalpy at 0 K: -0.05 eV per atom
* E above lowest polymorph: 0 meV per atom
* space group: I4/mmm

No. 9
## Li3Mg5 (SCAN)

Data for a crystal of Li3Mg5 relaxed with PBEsol.

a = 5.619 Å, b = 8.210 Å, c = 8.210 Å
α = 120.00°, β = 90.00°, γ = 90.00°
Fractional coordinates of all 16 atoms:
Mg1 0.500 0.667 0.333
Mg2 0.250 0.764 0.000
Mg3 0.250 0.236 0.236
Li1 0.750 0.598 0.000
Li2 0.250 0.000 0.402
Mg4 0.500 0.333 0.667
Mg5 0.750 0.764 0.764
Li3 0.250 0.598 0.598
Mg6 0.000 0.333 0.667
Li4 0.750 0.000 0.598
Mg7 0.750 0.236 0.000
Li5 0.750 0.402 0.402
Li6 0.250 0.402 0.000
Mg8 0.250 0.000 0.764
Mg9 0.750 0.000 0.236
Mg10 0.000 0.667 0.333

* formation enthalpy at 0 K: 0.01 eV per atom
* E above lowest polymorph: 54 meV per atom
* space group: P6_3/mcm

No. 10
## LiMg5 (SCAN)

Data for a crystal of LiMg5 relaxed with PBEsol.

a = 4.377 Å, b = 4.500 Å, c = 6.960 Å
α = 90.00°, β = 108.33°, γ = 90.00°
Fractional coordinates of all 6 atoms:
Mg1 0.000 0.500 0.000
Mg2 0.165 0.000 0.331
Mg3 0.835 0.000 0.669
Li1 0.500 0.000 0.000
Mg4 0.666 0.500 0.332
Mg5 0.334 0.500 0.668

* formation enthalpy at 0 K: -0.01 eV per atom
* E above lowest polymorph: 28 meV per atom
* space group: Cmmm

No. 11
## LiMg5 (SCAN)

Data for a crystal of LiMg5 relaxed with PBEsol.

a = 3.176 Å, b = 5.930 Å, c = 7.363 Å
α = 104.04°, β = 90.00°, γ = 105.53°
Fractional coordinates of all 6 atoms:
Li1 0.000 0.000 0.000
Mg1 0.718 0.436 0.944
Mg2 0.390 0.780 0.269
Mg3 0.669 0.337 0.335
Mg4 0.336 0.672 0.675
Mg5 0.054 0.108 0.611

* formation enthalpy at 0 K: -0.03 eV per atom
* E above lowest polymorph: 0 meV per atom
* space group: Cm

No. 12
## LiMg2 (SCAN)

Data for a crystal of LiMg2 relaxed with PBEsol.

a = 3.317 Å, b = 3.467 Å, c = 5.801 Å
α = 107.39°, β = 106.61°, γ = 90.00°
Fractional coordinates of all 3 atoms:
Mg1 0.658 0.658 0.316
Mg2 0.342 0.342 0.684
Li1 0.000 0.000 0.000

* formation enthalpy at 0 K: -0.06 eV per atom
* space group: Immm